This record from Alexandria via LeMat-Bulk describes Cd2MoCl after structural relaxation. The functional is PBE.

Summary:
Uncorrected energy (eV per atom): -3.419
Total magnetic moment (μB per formula unit): 0.00
Crystal system: tetragonal
Formation energy (no corrections) (meV per atom): 208

a b c (Å): 2.975 2.975 9.812
angles (deg): 90.00 90.00 90.00
Positions (direct):
Cd1 0.000 0.000 0.955
Cd2 0.500 0.500 0.216
Cl1 0.000 0.000 0.591
Mo1 0.500 0.500 0.738